VASP calculation (PBE-GGA) on a relaxed LaTbLu crystal.

Calculated values
Electronic total energy (eV/cell): -13.813

abc: 5.6878 5.6878 3.4662
angles: 90.00 90.00 120.00
Fractional positions:
La1 0.0000 0.0000 0.0000
Tb1 0.6667 0.3333 0.5000
Lu1 0.3333 0.6667 0.0000